Record 1
The following is a DFT calculation (PBE) of a geometry-optimized Rb2LaCu2O4 structure.

Properties
- Uncorrected formation energy: -1.47 eV/atom

Geometry as POSCAR:
```
Rb2LaCu2O4
1.0
6.900 -1.810 0.000
6.900 1.810 0.000
-2.039 0.000 6.376
Rb La Cu O
2 1 2 4
direct
0.132 0.132 0.060
0.868 0.868 0.940
0.000 0.000 0.500
0.319 0.319 0.487
0.681 0.681 0.513
0.196 0.196 0.643
0.466 0.466 0.707
0.534 0.534 0.293
0.804 0.804 0.357
```

---

Record 2
The following is a DFT calculation (PBE) of a geometry-optimized Mn2AuI structure.

Properties
- Uncorrected formation energy: 0.27 eV/atom
- ΔE to the lowest computed polymorph: 5 meV/atom

Geometry as POSCAR:
```
Mn2AuI
1.0
3.552 0.000 0.000
0.000 2.019 6.726
0.000 -2.019 6.726
Mn Au I
2 1 1
direct
0.000 0.000 0.000
0.500 0.171 0.171
0.000 0.626 0.626
0.000 0.352 0.352
```

---

Record 3
The following is a DFT calculation (PBE) of a geometry-optimized CaMg6TiO8 structure.

Properties
- Uncorrected formation energy: -2.55 eV/atom
- ΔE to the lowest computed polymorph: 23 meV/atom

Geometry as POSCAR:
```
CaMg6TiO8
1.0
4.380 0.000 0.000
0.000 4.380 0.000
0.000 0.000 8.779
Ca Mg Ti O
1 6 1 8
direct
0.000 0.000 0.000
0.000 0.500 0.254
0.000 0.500 0.746
0.500 0.000 0.254
0.500 0.000 0.746
0.500 0.500 0.000
0.500 0.500 0.500
0.000 0.000 0.500
0.000 0.000 0.259
0.000 0.000 0.741
0.000 0.500 0.000
0.000 0.500 0.500
0.500 0.000 0.000
0.500 0.000 0.500
0.500 0.500 0.252
0.500 0.500 0.748
```

---

Record 4
The following is a DFT calculation (PBE) of a geometry-optimized ThGaRuN structure.

Properties
- Uncorrected formation energy: -0.83 eV/atom

Geometry as POSCAR:
```
ThGaRuN
1.0
4.310 0.000 0.000
0.000 4.310 0.000
0.000 0.000 7.755
Th Ga Ru N
2 2 2 2
direct
0.250 0.250 0.140
0.750 0.750 0.860
0.250 0.250 0.646
0.750 0.750 0.354
0.250 0.750 0.500
0.750 0.250 0.500
0.250 0.750 0.000
0.750 0.250 0.000
```

---

Record 5
The following is a DFT calculation (PBE) of a geometry-optimized TaGaRh structure.

Properties
- ΔH_f (0 K): -0.12 eV/atom

Geometry as POSCAR:
```
TaGaRh
1.0
5.235 0.000 0.000
-2.618 4.534 0.000
0.000 0.000 12.637
Ta Ga Rh
6 6 6
direct
0.000 0.000 0.000
0.000 0.000 0.333
0.000 0.000 0.667
0.000 0.500 0.167
0.500 0.000 0.500
0.500 0.500 0.833
0.000 0.500 0.492
0.000 0.500 0.842
0.500 0.000 0.175
0.500 0.000 0.825
0.500 0.500 0.158
0.500 0.500 0.508
0.302 0.651 0.667
0.349 0.651 0.333
0.349 0.698 0.000
0.651 0.302 0.000
0.651 0.349 0.333
0.698 0.349 0.667
```

---

Record 6
The following is a DFT calculation (PBE) of a geometry-optimized Ce2ScCuS5 structure.

Properties
- Uncorrected formation energy: -1.70 eV/atom

Geometry as POSCAR:
```
Ce2ScCuS5
1.0
1.924 -8.212 0.000
1.924 8.212 0.000
0.000 0.000 11.499
Ce Sc Cu S
4 2 2 10
direct
0.112 0.888 0.500
0.126 0.874 0.125
0.874 0.126 0.625
0.888 0.112 0.000
0.193 0.807 0.824
0.807 0.193 0.324
0.440 0.560 0.259
0.560 0.440 0.759
0.044 0.956 0.864
0.291 0.709 0.478
0.309 0.691 0.168
0.352 0.648 0.816
0.497 0.503 0.584
0.503 0.497 0.084
0.648 0.352 0.316
0.691 0.309 0.668
0.709 0.291 0.978
0.956 0.044 0.364
```

---

Record 7
The following is a DFT calculation (PBE) of a geometry-optimized MnCrOs2 structure.

Properties
- ΔH_f (0 K): 0.13 eV/atom

Geometry as POSCAR:
```
MnCrOs2
1.0
1.332 0.769 8.553
-1.332 0.769 8.553
0.000 -1.538 8.553
Mn Cr Os
1 1 2
direct
0.000 0.000 0.000
0.500 0.500 0.500
0.250 0.250 0.250
0.750 0.750 0.750
```

---

Record 8
The following is a DFT calculation (PBE) of a geometry-optimized ZrPPd2Ru structure.

Properties
- ΔH_f (0 K): 0.94 eV/atom

Geometry as POSCAR:
```
ZrPPd2Ru
1.0
4.793 0.000 0.000
0.000 4.793 0.000
0.000 0.000 4.814
Zr P Pd Ru
1 1 2 1
direct
0.000 0.000 0.000
0.500 0.500 0.000
0.000 0.500 0.500
0.500 0.000 0.500
0.000 0.000 0.500
```

---

Number 1: M_tot 0.117 μB/atom. Number 2: M_tot 2.144 μB/atom. Number 3: M_tot 0.120 μB/atom. Number 4: M_tot 0.000 μB/atom. Number 5: M_tot 0.000 μB/atom. Number 6: M_tot 0.203 μB/atom. Number 7: M_tot 0.295 μB/atom. Number 8: M_tot 0.000 μB/atom.